VGaPtF2: optimized geometry, PBE+U.

Its size of the total moment is 0.6 μB per formula unit. The electronic total energy is -0.14536 hartree per atom. The space group is P4/mmm (123). The value obtained for the density of states at the Fermi level is 3.4 states/eV per cell.

a = 4.3241 Å, b = 5.1216 Å, c = 4.3241 Å
α = 90.00°, β = 90.00°, γ = 90.00°
With the nearest neighbours (Å) after each atom.
Atoms (fractional coordinates):
Pt 0.0000 0.0000 0.0000  4 F 2.16
F 0.0000 0.0000 0.5000  2 Pt 2.16
F 0.5000 0.0000 0.0000  2 Pt 2.16
V 0.0000 0.5000 0.0000  2 Pt 2.56
Ga 0.5000 0.5000 0.5000  4 V 3.06, 8 F 3.35